Compound: Li4ZrZn5
Source: Alexandria
Functional: GGA-PBE
Structure: optimized geometry

Summary:
Calculated volume, Å³/f.u.: 159
Space group: No. 123
ΔE_f, eV/atom: -0.149

Unit cell a=2.869 b=2.869 c=19.334 alpha=90.00 beta=90.00 gamma=90.00
Atoms (fractional coordinates):
Li (0.000, 0.000, 0.098)
Li (0.000, 0.000, 0.291)
Li (0.000, 0.000, 0.709)
Li (0.000, 0.000, 0.902)
Zr (0.000, 0.000, 0.500)
Zn (0.500, 0.500, 0.000)
Zn (0.500, 0.500, 0.195)
Zn (0.500, 0.500, 0.387)
Zn (0.500, 0.500, 0.613)
Zn (0.500, 0.500, 0.805)

Compound: LiIn2Au2
Source: Alexandria
Functional: GGA-PBE
Structure: optimized geometry

Summary:
Calculated volume, Å³/f.u.: 112
Space group: No. 139
ΔE_f, eV/atom: -0.124
Relative energy among the computed polymorphs, eV per atom: 0.232

Unit cell a=4.024 b=4.024 c=13.840 alpha=90.00 beta=90.00 gamma=90.00
Atoms (fractional coordinates):
Li (0.000, 0.000, 0.000)
Li (0.500, 0.500, 0.500)
In (0.000, 0.000, 0.397)
In (0.000, 0.000, 0.603)
In (0.500, 0.500, 0.103)
In (0.500, 0.500, 0.897)
Au (0.000, 0.500, 0.250)
Au (0.000, 0.500, 0.750)
Au (0.500, 0.000, 0.250)
Au (0.500, 0.000, 0.750)

Compound: BeC2
Source: Alexandria
Functional: GGA-PBE
Structure: optimized geometry

Summary:
Calculated volume, Å³/f.u.: 33
Space group: No. 12
ΔE_f, eV/atom: 0.924
Relative energy among the computed polymorphs, eV per atom: 0.537

Unit cell a=6.843 b=2.969 c=7.042 alpha=90.00 beta=114.48 gamma=90.00
Atoms (fractional coordinates):
Be (0.133, 0.000, 0.277)
Be (0.367, 0.500, 0.723)
Be (0.633, 0.500, 0.277)
Be (0.867, 0.000, 0.723)
C (0.046, 0.500, 0.097)
C (0.098, 0.500, 0.559)
C (0.402, 0.000, 0.441)
C (0.454, 0.000, 0.903)
C (0.546, 0.000, 0.097)
C (0.598, 0.000, 0.559)
C (0.902, 0.500, 0.441)
C (0.954, 0.500, 0.903)

Compound: Pr6Nd12Sm
Source: Alexandria
Functional: GGA-PBE
Structure: optimized geometry

Summary:
Calculated volume, Å³/f.u.: 684
Space group: No. 148
ΔE_f, eV/atom: 0.125
Relative energy among the computed polymorphs, eV per atom: 0.000

Unit cell a=8.810 b=8.810 c=8.810 alpha=89.35 beta=89.35 gamma=89.35
Atoms (fractional coordinates):
Pr (0.197, 0.595, 0.762)
Pr (0.238, 0.803, 0.405)
Pr (0.405, 0.238, 0.803)
Pr (0.595, 0.762, 0.197)
Pr (0.762, 0.197, 0.595)
Pr (0.803, 0.405, 0.238)
Nd (0.035, 0.279, 0.935)
Nd (0.065, 0.965, 0.721)
Nd (0.140, 0.306, 0.482)
Nd (0.279, 0.935, 0.035)
Nd (0.306, 0.482, 0.140)
Nd (0.482, 0.140, 0.306)
Nd (0.518, 0.860, 0.694)
Nd (0.694, 0.518, 0.860)
Nd (0.721, 0.065, 0.965)
Nd (0.860, 0.694, 0.518)
Nd (0.935, 0.035, 0.279)
Nd (0.965, 0.721, 0.065)
Sm (0.500, 0.500, 0.500)

Compound: LaNd3Co
Source: Alexandria
Functional: GGA-PBE
Structure: optimized geometry

Summary:
Calculated volume, Å³/f.u.: 166
Space group: No. 221
ΔE_f, eV/atom: 0.073
Relative energy among the computed polymorphs, eV per atom: 0.141

Unit cell a=5.492 b=5.492 c=5.492 alpha=90.00 beta=90.00 gamma=90.00
Atoms (fractional coordinates):
La (0.000, 0.000, 0.000)
Nd (0.000, 0.500, 0.500)
Nd (0.500, 0.000, 0.500)
Nd (0.500, 0.500, 0.000)
Co (0.500, 0.500, 0.500)

Compound: AlBI2
Source: Alexandria
Functional: GGA-PBE
Structure: optimized geometry

Summary:
E_form (uncorrected), eV/atom: 1.117
Calculated volume, Å³/f.u.: 109
Space group: No. 225
Relative energy among the computed polymorphs, eV per atom: 0.141

Unit cell a=7.579 b=7.579 c=7.579 alpha=90.00 beta=90.00 gamma=90.00
Atoms (fractional coordinates):
Al (0.000, 0.000, 0.000)
Al (0.000, 0.500, 0.500)
Al (0.500, 0.000, 0.500)
Al (0.500, 0.500, 0.000)
B (0.000, 0.000, 0.500)
B (0.000, 0.500, 0.000)
B (0.500, 0.000, 0.000)
B (0.500, 0.500, 0.500)
I (0.250, 0.250, 0.250)
I (0.250, 0.250, 0.750)
I (0.250, 0.750, 0.250)
I (0.250, 0.750, 0.750)
I (0.750, 0.250, 0.250)
I (0.750, 0.250, 0.750)
I (0.750, 0.750, 0.250)
I (0.750, 0.750, 0.750)

Compound: CeHg2Br8
Source: Alexandria
Functional: GGA-PBE
Structure: optimized geometry

Summary:
E_form (uncorrected), eV/atom: -0.906
Calculated volume, Å³/f.u.: 451
Space group: No. 12

Unit cell a=8.383 b=8.383 c=6.849 alpha=94.85 beta=94.85 gamma=70.38
Atoms (fractional coordinates):
Ce (0.000, 0.000, 0.000)
Hg (0.221, 0.221, 0.725)
Hg (0.779, 0.779, 0.275)
Br (0.114, 0.704, 0.220)
Br (0.166, 0.166, 0.263)
Br (0.296, 0.886, 0.780)
Br (0.400, 0.400, 0.705)
Br (0.600, 0.600, 0.295)
Br (0.704, 0.114, 0.220)
Br (0.834, 0.834, 0.737)
Br (0.886, 0.296, 0.780)

Compound: CaMgGeMo2
Source: Alexandria
Functional: GGA-PBE
Structure: optimized geometry

Summary:
Calculated volume, Å³/f.u.: 119
Space group: No. 123
ΔE_f, eV/atom: 0.872

Unit cell a=4.750 b=4.750 c=5.266 alpha=90.00 beta=90.00 gamma=90.00
Atoms (fractional coordinates):
Ca (0.000, 0.000, 0.000)
Mg (0.500, 0.500, 0.000)
Ge (0.000, 0.000, 0.500)
Mo (0.000, 0.500, 0.500)
Mo (0.500, 0.000, 0.500)

Compound: PmTm2Re
Source: Alexandria
Functional: GGA-PBE
Structure: optimized geometry

Summary:
Calculated volume, Å³/f.u.: 101
Space group: No. 166
ΔE_f, eV/atom: 0.771

Unit cell a=3.217 b=3.217 c=33.911 alpha=90.00 beta=90.00 gamma=120.00
Atoms (fractional coordinates):
Pm (0.000, 0.000, 0.000)
Pm (0.333, 0.667, 0.667)
Pm (0.667, 0.333, 0.333)
Tm (0.000, 0.000, 0.421)
Tm (0.000, 0.000, 0.579)
Tm (0.333, 0.667, 0.088)
Tm (0.333, 0.667, 0.245)
Tm (0.667, 0.333, 0.755)
Tm (0.667, 0.333, 0.912)
Re (0.000, 0.000, 0.500)
Re (0.333, 0.667, 0.167)
Re (0.667, 0.333, 0.833)

Compound: Ni3TeH
Source: Alexandria
Functional: GGA-PBE
Structure: optimized geometry

Summary:
Calculated volume, Å³/f.u.: 55
Space group: No. 221
Relative energy among the computed polymorphs, eV per atom: 0.000

Unit cell a=3.814 b=3.814 c=3.814 alpha=90.00 beta=90.00 gamma=90.00
Atoms (fractional coordinates):
Ni (0.000, 0.000, 0.500)
Ni (0.000, 0.500, 0.000)
Ni (0.500, 0.000, 0.000)
Te (0.500, 0.500, 0.500)
H (0.000, 0.000, 0.000)

Compound: ZrTeCl
Source: Alexandria
Functional: GGA-PBE
Structure: optimized geometry

Summary:
E_form (uncorrected), eV/atom: -1.095
Calculated volume, Å³/f.u.: 91
Space group: No. 2

Unit cell a=3.742 b=5.708 c=9.042 alpha=91.26 beta=90.06 gamma=109.12
Atoms (fractional coordinates):
Zr (0.194, 0.388, 0.160)
Zr (0.806, 0.612, 0.840)
Te (0.108, 0.215, 0.852)
Te (0.892, 0.785, 0.148)
Cl (0.368, 0.738, 0.653)
Cl (0.632, 0.262, 0.347)

Compound: CsGe2Au2
Source: Alexandria
Functional: GGA-PBE
Structure: optimized geometry

Summary:
Calculated volume, Å³/f.u.: 147
Space group: No. 139
ΔE_f, eV/atom: -0.144
Relative energy among the computed polymorphs, eV per atom: 0.000

Unit cell a=4.716 b=4.716 c=13.241 alpha=90.00 beta=90.00 gamma=90.00
Atoms (fractional coordinates):
Cs (0.000, 0.000, 0.000)
Cs (0.500, 0.500, 0.500)
Ge (0.000, 0.000, 0.335)
Ge (0.000, 0.000, 0.665)
Ge (0.500, 0.500, 0.165)
Ge (0.500, 0.500, 0.835)
Au (0.000, 0.500, 0.250)
Au (0.000, 0.500, 0.750)
Au (0.500, 0.000, 0.250)
Au (0.500, 0.000, 0.750)